Pm3Tl4GeTe8 | GGA-PBE | optimized geometry

Summary:
The calculation puts the total magnetic moment at 0.0000 μB per atom. The formation energy from raw total energies is -817.9 meV per atom. The calculation puts the electronic total energy at -4.16 eV per atom.

Unit cell a=9.5194 b=9.5194 c=9.5194 alpha=56.72 beta=56.72 gamma=56.72
Fractional coordinates of all 16 atoms:
Pm 0.0000 0.5000 0.5000
Pm 0.5000 0.0000 0.5000
Pm 0.5000 0.5000 0.0000
Tl 0.0000 0.0000 0.5000
Tl 0.0000 0.5000 0.0000
Tl 0.5000 0.0000 0.0000
Tl 0.5000 0.5000 0.5000
Ge 0.0000 0.0000 0.0000
Te 0.2332 0.2332 0.7479
Te 0.2332 0.7479 0.2332
Te 0.2521 0.7668 0.7668
Te 0.2586 0.2586 0.2586
Te 0.7414 0.7414 0.7414
Te 0.7479 0.2332 0.2332
Te 0.7668 0.2521 0.7668
Te 0.7668 0.7668 0.2521